(1)
Here is crystalline Na2ZnH4O4 at its relaxed geometry from the Alexandria database. Energies are from PBEsol.

Structure (POSCAR):
```
Na2ZnH4O4
1.0
7.659 0.000 0.000
0.000 6.171 0.000
-6.455 0.000 8.673
Na Zn H O
8 4 16 16
direct
0.012 0.073 0.287
0.012 0.427 0.787
0.474 0.750 0.492
0.474 0.750 0.992
0.526 0.250 0.008
0.526 0.250 0.508
0.988 0.573 0.213
0.988 0.927 0.713
0.191 0.246 0.627
0.191 0.254 0.127
0.809 0.746 0.873
0.809 0.754 0.373
0.176 0.503 0.467
0.176 0.997 0.967
0.189 0.666 0.048
0.189 0.834 0.548
0.294 0.616 0.735
0.294 0.884 0.235
0.447 0.543 0.235
0.447 0.957 0.735
0.553 0.043 0.265
0.553 0.457 0.765
0.706 0.116 0.765
0.706 0.384 0.265
0.811 0.166 0.452
0.811 0.334 0.952
0.824 0.003 0.033
0.824 0.497 0.533
0.117 0.731 0.943
0.117 0.769 0.443
0.200 0.156 0.961
0.200 0.344 0.461
0.310 0.538 0.227
0.310 0.962 0.727
0.337 0.024 0.289
0.337 0.476 0.789
0.663 0.524 0.211
0.663 0.976 0.711
0.690 0.038 0.273
0.690 0.462 0.773
0.800 0.656 0.539
0.800 0.844 0.039
0.883 0.231 0.557
0.883 0.269 0.057
```

**Space-group type**: P2_1/c (14)
**VASP energy**: -4.807 eV/atom


(2)
Here is crystalline CoGe at its relaxed geometry from the Alexandria database. Energies are from PBEsol.

Structure (POSCAR):
```
CoGe
1.0
4.563 0.000 0.000
0.000 4.563 0.000
0.000 0.000 4.563
Co Ge
4 4
direct
0.139 0.139 0.139
0.361 0.861 0.639
0.639 0.361 0.861
0.861 0.639 0.361
0.160 0.340 0.660
0.340 0.660 0.160
0.660 0.160 0.340
0.840 0.840 0.840
```

**Space-group type**: P2_13 (198)
**DFT formation energy**: -0.30 eV/atom


(3)
Here is crystalline Tl2SbPb at its relaxed geometry from the Alexandria database. Energies are from PBEsol.

Structure (POSCAR):
```
Tl2SbPb
1.0
4.010 0.000 0.000
0.000 4.010 0.000
0.000 0.000 7.159
Tl Sb Pb
2 1 1
direct
0.000 0.000 0.000
0.500 0.500 0.257
0.500 0.500 0.747
0.000 0.000 0.532
```

**Space-group type**: P4mm (99)
**Formation energy (no corrections)**: 3.1 meV/atom


(4)
Here is crystalline MoIr2Ru at its relaxed geometry from the Alexandria database. Energies are from PBEsol.

Structure (POSCAR):
```
MoIr2Ru
1.0
4.494 -1.350 0.000
4.494 1.350 0.000
-0.802 0.000 4.654
Mo Ir Ru
1 2 1
direct
0.000 0.000 0.000
0.251 0.251 0.754
0.499 0.499 0.495
0.752 0.752 0.259
```

**Space-group type**: Cm (8)
**DFT formation energy**: -0.12 eV/atom


(5)
Here is crystalline Ba2TeOsI at its relaxed geometry from the Alexandria database. Energies are from PBEsol.

Structure (POSCAR):
```
Ba2TeOsI
1.0
6.152 0.000 0.000
0.000 6.152 0.000
0.000 0.000 4.935
Ba Te Os I
2 1 1 1
direct
0.000 0.500 0.000
0.500 0.000 0.000
0.000 0.000 0.500
0.000 0.000 0.000
0.500 0.500 0.500
```

**Space-group type**: P4/mmm (123)
**Formation energy (no corrections)**: -515.0 meV/atom


(6)
Here is crystalline Sr2BeW at its relaxed geometry from the Alexandria database. Energies are from PBEsol.

Structure (POSCAR):
```
Sr2BeW
1.0
3.009 0.000 0.000
0.000 4.893 0.000
0.000 0.000 6.221
Sr Be W
2 1 1
direct
0.000 0.000 0.248
0.000 0.000 0.752
0.500 0.500 0.000
0.500 0.500 0.500
```

**Space-group type**: Pmmm (47)
**DFT formation energy**: 1.31 eV/atom